No. 1
VASP calculation (PBE-GGA) on a relaxed structure of CaHfBiSb2.

Results
ρ	6.44	g/cm³
E_form (uncorrected)	-54	kJ/mol of formula units
volume	173	Å³/cell

Cell lengths 5.531, 5.531, 5.659 Å; angles 90.00, 90.00, 90.00 degrees
Atoms (fractional coordinates):
1 Ca 0.500 0.500 0.500
2 Sb 0.000 0.500 0.000
3 Sb 0.500 0.000 0.000
4 Hf 0.000 0.000 0.000
5 Bi 0.000 0.000 0.500



No. 2
VASP calculation (PBE-GGA) on a relaxed structure of ZrTa2In.

Results
ρ	11.42	g/cm³
volume	83	Å³/cell
formation energy	0.17	eV/atom

Cell lengths 10.013, 10.013, 10.013 Å; angles 17.87, 17.87, 17.87 degrees
Atoms (fractional coordinates):
1 In 0.252 0.252 0.252
2 Zr 0.496 0.496 0.496
3 Ta 0.748 0.748 0.748
4 Ta 0.003 0.003 0.003



No. 3
VASP calculation (PBE-GGA) on a relaxed structure of Zr3RhW.

Results
ρ	7.41	g/cm³
volume	126	Å³/cell
energy above the lowest structure with this stoichiometry	149	meV per atom
formation energy	0.99	eV/atom

Cell lengths 5.008, 5.008, 5.008 Å; angles 90.00, 90.00, 90.00 degrees
Atoms (fractional coordinates):
1 Zr 0.000 0.500 0.000
2 Zr 0.000 0.000 0.500
3 Zr 0.500 0.000 0.000
4 Rh 0.500 0.500 0.500
5 W 0.000 0.000 0.000



No. 4
VASP calculation (PBE-GGA) on a relaxed structure of Sr2TaSi.

Results
ρ	6.18	g/cm³
E_form (uncorrected)	291	kJ/mol of formula units
volume	103	Å³/cell

Cell lengths 5.705, 5.705, 5.705 Å; angles 131.09, 131.09, 71.66 degrees
Atoms (fractional coordinates):
1 Ta 0.500 0.500 0.000
2 Si 0.750 0.250 0.500
3 Sr 0.000 0.000 0.000
4 Sr 0.250 0.750 0.500



Q: Look up the volume of the third one.
A: 126 Å³/cell